First-principles (GGA-PBE) data for a relaxed Tl3I crystal, as listed in Alexandria.

Values from the calculation:
The crystal system is cubic. As for the volume: 142 Å³/f.u. The calculation puts the calculated total energy at -2.332 eV/atom.

a = 5.222 Å, b = 5.222 Å, c = 5.222 Å
α = 90.00°, β = 90.00°, γ = 90.00°
Space group Pm-3m (No. 221)
Inequivalent atoms, fractional coordinates:
Tl1 0.000 0.000 0.500 [3 per cell]
I1 0.500 0.500 0.500 [1 per cell]